No. 1
Computed, not measured: an optimized crystal structure of LiFe2Tc at the PBE level of DFT.

Lattice parameters (Å, degrees): 2.500 2.500 8.185 90.00 90.00 90.00
Space group P4mm (No. 99)
Unique sites:
Li  0.000  0.000  0.000 x1
Fe  0.000  0.000  0.528 x1
Fe  0.500  0.500  0.740 x1
Tc  0.500  0.500  0.276 x1

## Properties
D(E_F) = 3.79 states/eV/cell
Crystal system = tetragonal
Energy relative to the elements = 0.267 eV per atom
E_tot = -7.034 eV per atom

---

No. 2
Computed, not measured: an optimized crystal structure of LiFeTc2 at the PBE level of DFT.

Lattice parameters (Å, degrees): 3.062 4.144 8.300 90.00 90.00 90.00
Space group Immm (No. 71)
Unique sites:
Li  0.000  0.000  0.000 x2
Fe  0.000  0.000  0.500 x2
Tc  0.000  0.500  0.245 x4

## Properties
D(E_F) = 6.74 states/eV/cell
Crystal system = orthorhombic
Energy relative to the elements = 0.233 eV per atom
E_tot = -7.544 eV per atom

---

No. 3
Computed, not measured: an optimized crystal structure of LiFe2Tc at the PBE level of DFT.

Lattice parameters (Å, degrees): 2.486 3.978 5.084 90.00 90.00 90.00
Space group Pmmm (No. 47)
Unique sites:
Li  0.000  0.000  0.000 x1
Fe  0.500  0.500  0.248 x2
Tc  0.000  0.000  0.500 x1

## Properties
D(E_F) = 3.95 states/eV/cell
Crystal system = orthorhombic
Energy relative to the elements = 0.273 eV per atom
E_tot = -7.028 eV per atom

---

No. 4
Computed, not measured: an optimized crystal structure of LiFe2Tc at the PBE level of DFT.

Lattice parameters (Å, degrees): 2.824 2.824 6.349 90.00 90.00 90.00
Space group P4mm (No. 99)
Unique sites:
Li  0.000  0.000  0.000 x1
Fe  0.000  0.000  0.522 x1
Fe  0.500  0.500  0.748 x1
Tc  0.500  0.500  0.286 x1

## Properties
D(E_F) = 3.69 states/eV/cell
Crystal system = tetragonal
Energy relative to the elements = 0.293 eV per atom
E_tot = -7.008 eV per atom

---

No. 5
Computed, not measured: an optimized crystal structure of LiFeTc2 at the PBE level of DFT.

Lattice parameters (Å, degrees): 8.819 2.533 4.823 90.00 94.22 90.00
Space group Cm (No. 8)
Unique sites:
Li  0.000  0.000  0.000 x2
Fe  0.251  0.500  0.224 x2
Tc  0.247  0.000  0.737 x2
Tc  0.486  0.000  0.494 x2

## Properties
D(E_F) = 8.45 states/eV/cell
Crystal system = monoclinic
Energy relative to the elements = 0.261 eV per atom
E_tot = -7.517 eV per atom

---

No. 6
Computed, not measured: an optimized crystal structure of LiFe2Tc at the PBE level of DFT.

Lattice parameters (Å, degrees): 2.6221 2.6221 26.3787 90.00 90.00 120.00
Space group R-3m (No. 166, hexagonal axes)
Unique sites:
Li  0.0000  0.0000  0.0000 x3
Fe  0.0000  0.0000  0.2474 x6
Tc  0.0000  0.0000  0.5000 x3

## Properties
D(E_F) = 15.66 states/eV/cell
Crystal system = trigonal
Energy relative to the elements = 0.267 eV per atom
E_tot = -7.034 eV per atom

---

no.,magnetic moment (μB/cell)
1,0.2
2,3.7
3,4.7
4,4.4
5,4.3
6,10.7